An optimized crystal structure of Nb2FeAu, computed with GGA-PBE.

Energy in eV/atom: -7.546
Formation energy in meV per atom: 424
Size of the total moment in μB per cell: 1.49

Geometry as POSCAR:
```
Nb2FeAu
1.0
2.833 0.000 0.000
1.417 2.454 0.000
1.417 0.818 10.001
Nb Fe Au
2 1 1
Direct
0.904 0.904 0.289
0.096 0.096 0.711
0.500 0.500 0.500
0.000 0.000 0.000
```

***

An optimized crystal structure of DyErGaNi, computed with GGA-PBE.

Energy in eV/atom: -4.955
Formation energy in meV per atom: -462
Size of the total moment in μB per cell: 0.00

Geometry as POSCAR:
```
DyErGaNi
1.0
-3.082 1.457 3.531
-2.954 -3.259 2.179
0.809 -1.314 4.660
Er Ga Dy Ni
1 1 1 1
Direct
0.000 0.000 0.000
0.750 0.750 0.750
0.500 0.500 0.500
0.250 0.250 0.250
```

***

An optimized crystal structure of Dy2ErBr, computed with GGA-PBE.

Energy in eV/atom: -4.373
Size of the total moment in μB per cell: 0.00

Geometry as POSCAR:
```
Dy2ErBr
1.0
-2.872 -2.195 0.320
-0.494 -1.910 3.046
-6.556 6.316 5.060
Dy Er Br
2 1 1
Direct
0.743 0.743 0.771
0.257 0.257 0.229
0.500 0.500 0.500
0.000 0.000 0.000
```